# 1
PW3 after structural relaxation. Source: the Alexandria database, functional PBE-GGA.

Results
Calculated total energy: -10.66 eV/atom
Energy above the most stable polymorph in this dataset: 537 meV per atom
Total moment: 0.00 μB/cell
DOS at the Fermi energy: 2.5 states/eV/f.u.
Formation enthalpy at 0 K: 0.406 eV/atom

Cell lengths 6.2494, 6.2494, 6.2494 Å; angles 90.00, 90.00, 90.00 degrees
Closest atoms and distances in Å follow each position.
Space group Fm-3m (No. 225)
One atom of each set of equivalent atoms:
P  0.0000  0.0000  0.0000 (multiplicity 4)  8 W 2.71
W  0.0000  0.0000  0.5000 (multiplicity 4)  8 W 2.71
W  0.2500  0.2500  0.2500 (multiplicity 8)  4 W 2.71, 4 P 2.71

***

# 2
Mg5Se after structural relaxation. Source: the Alexandria database, functional PBE-GGA.

Results
Calculated total energy: -2.12 eV/atom
Total moment: 0.00 μB/cell
DOS at the Fermi energy: 2.3 states/eV/f.u.

Cell lengths 3.5453, 3.5453, 10.6070 Å; angles 90.00, 90.00, 90.00 degrees
Closest atoms and distances in Å follow each position.
Space group P4/mmm (No. 123)
One atom of each set of equivalent atoms:
Mg  0.0000  0.0000  0.0000 (multiplicity 1)  8 Mg 3.11
Mg  0.0000  0.0000  0.3553 (multiplicity 2)  4 Se 2.94, 5 Mg 3.07-3.16
Mg  0.5000  0.5000  0.1740 (multiplicity 2)  8 Mg 3.11-3.16, 1 Se 3.46
Se  0.5000  0.5000  0.5000 (multiplicity 1)  8 Mg 2.94

***

# 3
TaCdMo after structural relaxation. Source: the Alexandria database, functional PBE-GGA.

Results
Calculated total energy: -7.64 eV/atom
Energy above the most stable polymorph in this dataset: 0 meV per atom
Total moment: 0.00 μB/cell
DOS at the Fermi energy: 2.8 states/eV/f.u.
Formation enthalpy at 0 K: 0.222 eV/atom

Cell lengths 3.3508, 4.5123, 14.3555 Å; angles 90.00, 90.00, 90.00 degrees
Closest atoms and distances in Å follow each position.
Space group Fmm2 (No. 42)
One atom of each set of equivalent atoms:
Ta  0.0000  0.0000  0.0000 (multiplicity 4)  2 Mo 2.77, 4 Ta 2.81, 2 Cd 3.04
Cd  0.0000  0.0000  0.6766 (multiplicity 4)  4 Cd 2.81, 2 Mo 2.96, 2 Ta 3.04
Mo  0.0000  0.0000  0.3462 (multiplicity 4)  2 Ta 2.77, 4 Mo 2.81, 2 Cd 2.96

***

# 4
Pm6Dy3YEr2 after structural relaxation. Source: the Alexandria database, functional PBE-GGA.

Results
Calculated total energy: -4.81 eV/atom
Total moment: 0.00 μB/cell
DOS at the Fermi energy: 13.9 states/eV/f.u.
Formation enthalpy at 0 K: 0.013 eV/atom

Cell lengths 6.2393, 10.8039, 11.8222 Å; angles 90.00, 100.09, 90.00 degrees
Closest atoms and distances in Å follow each position.
Space group C2/m (No. 12)
One atom of each set of equivalent atoms:
Pm  0.2489  0.1672  0.2504 (multiplicity 8)  2 Er 3.57, 3 Dy 3.57-3.58, 1 Y 3.58, 6 Pm 3.60-3.61
Pm  0.2497  0.0000  0.7497 (multiplicity 4)  2 Er 3.57, 1 Y 3.57, 3 Dy 3.58, 6 Pm 3.60-3.61
Dy  0.0000  0.0000  0.0000 (multiplicity 2)  6 Pm 3.58, 6 Dy 3.60
Dy  0.0000  0.3332  0.0000 (multiplicity 4)  6 Pm 3.57-3.58, 6 Dy 3.60
Y  0.0000  0.5000  0.5000 (multiplicity 2)  6 Pm 3.57-3.58, 6 Er 3.60
Er  0.0000  0.1666  0.5000 (multiplicity 4)  6 Pm 3.57, 3 Er 3.60, 3 Y 3.60